A relaxed structure of Cd2CuPt, computed with PBE.

abc: 6.096 6.096 6.096
angles: 54.73 152.98 133.35
Fractional coordinates of all 4 atoms:
Cd (0.000, 0.247, 0.247)
Cu (0.000, 0.000, 0.000)
Pt (0.000, 0.500, 0.500)
Cd (0.000, 0.753, 0.753)

Energy of formation ... 203.2 meV per atom
Space group ... No. 71